5
Lattice="4.949 0.000 0.000 0.000 4.949 0.000 0.000 0.000 4.690" Properties=species:S:1:pos:R:3 comment="BaTcIr2Pt, optimized geometry, DFT PBEsol" delta_e_f_mev_per_atom=1321 dos_ef_per_ev_cell=6.8 pbc="T T T"
Ba 0.000 0.000 0.000
Tc 2.474 2.474 0.000
Ir 0.000 2.474 2.345
Ir 2.474 0.000 2.345
Pt 2.474 2.474 2.345